Computed, not measured: an optimized crystal structure of NiPb2N2 at the PBE level of DFT.

abc: 6.5600 6.5600 3.6840
angles: 90.00 90.00 90.00
Positions (direct):
Pb (0.1611, 0.6611, 0.5000)
Pb (0.6611, 0.8389, 0.5000)
Pb (0.8389, 0.3389, 0.5000)
Pb (0.3389, 0.1611, 0.5000)
Ni (0.0000, 0.0000, 0.0000)
Ni (0.5000, 0.5000, 0.0000)
N (0.3126, 0.8126, 0.0000)
N (0.8126, 0.6874, 0.0000)
N (0.6874, 0.1874, 0.0000)
N (0.1874, 0.3126, 0.0000)

ΔE_f (raw)	1.06	eV/atom
excess energy over the best structure of this formula in the dataset	44.5	kJ/mol of atoms